[1]
# Mg2ScNi

Mg2ScNi at its PBEsol-relaxed geometry (meta-GGA SCAN, Alexandria).

```
data_Mg2ScNi
_chemical_formula_sum 'Mg2 Sc1 Ni1'
_cell_length_a 3.009
_cell_length_b 4.591
_cell_length_c 5.353
_cell_angle_alpha 90.00
_cell_angle_beta 103.80
_cell_angle_gamma 90.00
_space_group_name_H-M_alt 'P 1'
_space_group_IT_number 1
_space_group_name_Hall 'P 1'
loop_
_atom_site_label
_atom_site_fract_x
_atom_site_fract_y
_atom_site_fract_z
Mg1 0.165 0.000 0.274
Mg2 0.835 0.000 0.726
Sc1 0.500 0.500 0.000
Ni1 0.000 0.500 0.500
```

Summary:
The calculation puts the density of states at the Fermi level at 2.939 states/eV/cell. The energy of formation from the pure elements is 0.022 eV/atom.

[2]
# MoRuAu2

MoRuAu2 at its PBEsol-relaxed geometry (meta-GGA SCAN, Alexandria).

```
data_MoRuAu2
_chemical_formula_sum 'Mo1 Ru1 Au2'
_cell_length_a 4.809
_cell_length_b 4.809
_cell_length_c 4.892
_cell_angle_alpha 99.43
_cell_angle_beta 99.43
_cell_angle_gamma 33.61
_space_group_name_H-M_alt 'P 1'
_space_group_IT_number 1
_space_group_name_Hall 'P 1'
loop_
_atom_site_label
_atom_site_fract_x
_atom_site_fract_y
_atom_site_fract_z
Mo1 0.000 0.000 0.000
Ru1 0.260 0.260 0.792
Au1 0.509 0.509 0.517
Au2 0.753 0.753 0.273
```

Summary:
The calculation puts the density of states at the Fermi level at 3.940 states/eV/cell. For the energy relative to the lowest polymorph listed for this composition, the calculation gives 143.2 meV per atom. The energy of formation from the pure elements is 0.240 eV/atom.

[3]
# CdIr2F

CdIr2F at its PBEsol-relaxed geometry (meta-GGA SCAN, Alexandria).

```
data_CdIr2F
_chemical_formula_sum 'Cd1 Ir2 F1'
_cell_length_a 4.362
_cell_length_b 4.362
_cell_length_c 4.362
_cell_angle_alpha 60.00
_cell_angle_beta 60.00
_cell_angle_gamma 60.00
_space_group_name_H-M_alt 'P 1'
_space_group_IT_number 1
_space_group_name_Hall 'P 1'
loop_
_atom_site_label
_atom_site_fract_x
_atom_site_fract_y
_atom_site_fract_z
Cd1 0.000 0.000 0.000
Ir1 0.250 0.250 0.250
Ir2 0.750 0.750 0.750
F1 0.500 0.500 0.500
```

Summary:
The calculation puts the density of states at the Fermi level at 4.124 states/eV/cell. The uncorrected formation energy comes out at 3.20 eV per formula unit.

[4]
# SrCd3Rh

SrCd3Rh at its PBEsol-relaxed geometry (meta-GGA SCAN, Alexandria).

```
data_SrCd3Rh
_chemical_formula_sum 'Sr1 Cd3 Rh1'
_cell_length_a 5.104
_cell_length_b 5.104
_cell_length_c 5.104
_cell_angle_alpha 90.00
_cell_angle_beta 90.00
_cell_angle_gamma 90.00
_space_group_name_H-M_alt 'P 1'
_space_group_IT_number 1
_space_group_name_Hall 'P 1'
loop_
_atom_site_label
_atom_site_fract_x
_atom_site_fract_y
_atom_site_fract_z
Sr1 0.000 0.000 0.000
Cd1 0.000 0.500 0.500
Cd2 0.500 0.000 0.500
Cd3 0.500 0.500 0.000
Rh1 0.500 0.500 0.500
```

Summary:
The calculation puts the density of states at the Fermi level at 2.344 states/eV/cell. The energy of formation from the pure elements is -0.214 eV/atom.